1.
Entry from the Alexandria database: SrTlPO2 after structural relaxation (PBE).

Values from the calculation:
Space group: P4/mmm (123)
Formation energy without anion corrections (eV/atom): -0.3990

Unit cell a=4.4699 b=4.4699 c=5.0558 alpha=90.00 beta=90.00 gamma=90.00
Closest atoms and distances in Å follow each position.
Fractional positions:
Sr  0.0000  0.0000  0.0000  4 P 3.16, 8 O 3.37
Tl  0.5000  0.5000  0.5000  4 O 2.23
P  0.5000  0.5000  0.0000  2 Tl 2.53
O  0.0000  0.5000  0.5000  2 Tl 2.23
O  0.5000  0.0000  0.5000  2 Tl 2.23

=====

2.
Entry from the Alexandria database: PrSm3Mg after structural relaxation (PBE).

Values from the calculation:
Formation enthalpy at 0 K (kJ/mol of atoms): 3
Space group: C2/c (15)

Unit cell a=10.1314 b=10.1314 c=6.5772 alpha=100.61 beta=100.61 gamma=81.56
Closest atoms and distances in Å follow each position.
Fractional positions:
Pr  0.0244  0.1748  0.4639  8 Sm 3.47-3.82, 4 Pr 3.62-3.84
Pr  0.1748  0.0244  0.9639  8 Sm 3.47-3.82, 4 Pr 3.62-3.84
Pr  0.8252  0.9756  0.0361  8 Sm 3.47-3.82, 4 Pr 3.62-3.84
Pr  0.9756  0.8252  0.5361  8 Sm 3.47-3.82, 4 Pr 3.62-3.84
Sm  0.0965  0.7075  0.0339  2 Mg 3.28-3.53, 4 Sm 3.28-3.63, 4 Pr 3.55-3.67
Sm  0.1245  0.4933  0.3627  6 Sm 3.28-3.63, 2 Mg 3.40-3.50, 1 Pr 3.55
Sm  0.2267  0.3694  0.8540  8 Sm 3.39-3.79, 1 Pr 3.47, 2 Mg 3.53-3.54
Sm  0.2925  0.9035  0.4661  2 Mg 3.28-3.53, 4 Sm 3.28-3.63, 4 Pr 3.55-3.67
Sm  0.3694  0.2267  0.3540  8 Sm 3.39-3.79, 1 Pr 3.47, 2 Mg 3.53-3.54
Sm  0.4933  0.1245  0.8627  6 Sm 3.28-3.63, 2 Mg 3.40-3.50, 1 Pr 3.55
Sm  0.5067  0.8755  0.1373  6 Sm 3.28-3.63, 2 Mg 3.40-3.50, 1 Pr 3.55
Sm  0.6306  0.7733  0.6460  8 Sm 3.39-3.79, 1 Pr 3.47, 2 Mg 3.53-3.54
Sm  0.7075  0.0965  0.5339  2 Mg 3.28-3.53, 4 Sm 3.28-3.63, 4 Pr 3.55-3.67
Sm  0.7733  0.6306  0.1460  8 Sm 3.39-3.79, 1 Pr 3.47, 2 Mg 3.53-3.54
Sm  0.8755  0.5067  0.6373  6 Sm 3.28-3.63, 2 Mg 3.40-3.50, 1 Pr 3.55
Sm  0.9035  0.2925  0.9661  2 Mg 3.28-3.53, 4 Sm 3.28-3.63, 4 Pr 3.55-3.67
Mg  0.3391  0.6609  0.7500  3 Mg 3.13-3.48, 4 Sm 3.28-3.40
Mg  0.4242  0.5758  0.2500  3 Mg 3.13-3.48, 2 Sm 3.50
Mg  0.5758  0.4242  0.7500  3 Mg 3.13-3.48, 2 Sm 3.50
Mg  0.6609  0.3391  0.2500  3 Mg 3.13-3.48, 4 Sm 3.28-3.40

=====

So what do the calculations give for energy relative to the lowest polymorph listed for this composition? Going down the list: 0.0, 0.0 kJ/mol of formula units.